Na2SrSn2Au | PBE-GGA | optimized geometry

The structure in POSCAR format:
```
Na2SrSn2Au
1.0
-4.173 4.049 1.315
-4.153 -4.276 -0.012
5.097 -0.810 5.153
Na Sr Sn Au
2 1 2 1
direct
0.250 0.750 0.500
0.750 0.250 0.500
0.500 0.500 0.000
0.779 0.779 0.559
0.221 0.221 0.441
0.000 0.000 0.000
```

Computed properties:
Mass density: 4.5 g/cm³
Calculated total energy: -2.6865 eV/atom
Formation enthalpy at 0 K: -0.09 eV per atom